Entry from OQMD via LeMat-Bulk: a geometry-optimized LiPmGa4 structure (PBE).

```
LiPmGa4
1.0
4.3547 0.0000 0.0000
-2.1773 3.7713 0.0000
0.0000 0.0000 6.8722
Ga Li Pm
4 1 1
direct
0.6667 0.3333 0.2170
0.3333 0.6667 0.2170
0.6667 0.3333 0.7830
0.3333 0.6667 0.7830
0.0000 0.0000 0.0000
0.0000 0.0000 0.5000
```

## Properties
Final energy in Ry per atom: -0.266